Compound: ZrNiO3
Source: Alexandria
Functional: PBE+U
Structure: relaxed

Lattice parameters (Å, degrees): 4.0958 4.0958 4.0958 90.00 90.00 90.00
Site moments in Bohr magnetons follow the coordinates.
Atoms (fractional coordinates):
Ni1 0.5000 0.5000 0.5000  1.50
O1 0.0000 0.5000 0.0000  0.19
O2 0.0000 0.0000 0.5000  0.14
O3 0.5000 0.0000 0.0000  0.14
Zr1 0.0000 0.0000 0.0000  -0.03

Summary:
V: 69 Å³/cell
magnetization: 2.0 μB/f.u.
electronic total energy: -6.534 eV/atom